This record from the Alexandria database describes a relaxed NdTlSn2I8 crystal. The functional is PBE-GGA.

abc: 7.3803 9.5895 7.8541
angles: 90.00 90.84 90.00
Last column: nearest neighbours and their distance in Å.
Element x y z (fractional)
Nd: 0.0000 0.0000 0.0000  6 I 3.13-3.17
Tl: 0.0000 0.5000 0.0000  6 I 3.42-3.49
Sn: 0.5000 0.2538 0.5000  6 I 3.12-3.37
Sn: 0.5000 0.7462 0.5000  6 I 3.12-3.37
I: 0.2434 0.0000 0.6703  1 Nd 3.17, 2 Sn 3.37
I: 0.2522 0.2293 0.1597  1 Nd 3.13, 1 Sn 3.23, 1 Tl 3.42
I: 0.2522 0.7707 0.1597  1 Nd 3.13, 1 Sn 3.23, 1 Tl 3.42
I: 0.2690 0.5000 0.6380  2 Sn 3.12
I: 0.7310 0.5000 0.3620  2 Sn 3.12
I: 0.7478 0.2293 0.8403  1 Nd 3.13, 1 Sn 3.23, 1 Tl 3.42
I: 0.7478 0.7707 0.8403  1 Nd 3.13, 1 Sn 3.23, 1 Tl 3.42
I: 0.7566 0.0000 0.3297  1 Nd 3.17, 2 Sn 3.37

Calculated values
Formation energy (no corrections) ... -796.5 meV/atom
Total energy ... -3.092 eV per atom
Space-group type ... P2/m (10)
Fermi-level density of states ... 0.000 states/eV/cell